# 1
## Zr3TaRe (SCAN)

Data for a PBEsol-optimized structure of Zr3TaRe.

Computed properties:
The value obtained for the total energy is -44.41 eV/atom. Its calculated density is 9.1 Mg/m³. The calculation puts the formation energy at 1549 meV per atom.

Unit cell a=4.8822 b=4.8822 c=4.8822 alpha=90.00 beta=90.00 gamma=90.00
Space group Pm-3m (No. 221)
Symmetry-distinct sites (fractional):
Zr 0.0000 0.0000 0.5000 x3
Ta 0.0000 0.0000 0.0000 x1
Re 0.5000 0.5000 0.5000 x1


# 2
## Li5Re (SCAN)

Data for a PBEsol-optimized structure of Li5Re.

Computed properties:
The value obtained for the total energy is -13.58 eV/atom. Its calculated density is 4.0 Mg/m³. The calculation puts the formation energy at 262 meV per atom.

Unit cell a=10.7558 b=2.4827 c=7.0608 alpha=90.00 beta=102.01 gamma=90.00
Space group Cm (No. 8)
Symmetry-distinct sites (fractional):
Li 0.0000 0.0000 0.0000 x2
Li 0.0598 0.0000 0.6040 x2
Li 0.2305 0.5000 0.9766 x2
Li 0.3077 0.0000 0.6276 x2
Li 0.3931 0.0000 0.2970 x2
Re 0.1556 0.5000 0.3138 x2


# 3
## Ca2CuRh (SCAN)

Data for a PBEsol-optimized structure of Ca2CuRh.

Computed properties:
The value obtained for the total energy is -17.17 eV/atom. Its calculated density is 4.6 Mg/m³. The calculation puts the formation energy at -94 meV per atom.

Unit cell a=3.3763 b=3.3763 c=7.8577 alpha=90.00 beta=90.00 gamma=90.00
Space group P4mm (No. 99)
Symmetry-distinct sites (fractional):
Ca 0.0000 0.0000 0.0000 x1
Ca 0.5000 0.5000 0.4205 x1
Cu 0.0000 0.0000 0.6475 x1
Rh 0.5000 0.5000 0.7734 x1


# 4
## CaRe2HAu (SCAN)

Data for a PBEsol-optimized structure of CaRe2HAu.

Computed properties:
The value obtained for the total energy is -42.69 eV/atom. Its calculated density is 7.6 Mg/m³.

Unit cell a=4.8928 b=4.8928 c=5.5702 alpha=90.00 beta=90.00 gamma=90.00
Space group P4/mmm (No. 123)
Symmetry-distinct sites (fractional):
Ca 0.0000 0.0000 0.0000 x1
Re 0.0000 0.5000 0.5000 x2
H 0.5000 0.5000 0.0000 x1
Au 0.0000 0.0000 0.5000 x1


# 5
## Ti3NbH (SCAN)

Data for a PBEsol-optimized structure of Ti3NbH.

Computed properties:
The value obtained for the total energy is -17.01 eV/atom. Its calculated density is 5.7 Mg/m³.

Unit cell a=4.0946 b=4.0946 c=4.0946 alpha=90.00 beta=90.00 gamma=90.00
Space group Pm-3m (No. 221)
Symmetry-distinct sites (fractional):
Ti 0.0000 0.0000 0.5000 x3
Nb 0.5000 0.5000 0.5000 x1
H 0.0000 0.0000 0.0000 x1


# 6
## TeIrO2F (SCAN)

Data for a PBEsol-optimized structure of TeIrO2F.

Computed properties:
The value obtained for the total energy is -24.99 eV/atom. As for the uncorrected formation energy: -11.9 kJ/mol of atoms. Its calculated density is 9.2 Mg/m³.

Unit cell a=3.9272 b=3.9272 c=4.3228 alpha=90.00 beta=90.00 gamma=90.00
Space group P4/mmm (No. 123)
Symmetry-distinct sites (fractional):
Te 0.0000 0.0000 0.0000 x1
Ir 0.5000 0.5000 0.5000 x1
O 0.0000 0.5000 0.5000 x2
F 0.5000 0.5000 0.0000 x1


# 7
## LaCd2Au (SCAN)

Data for a PBEsol-optimized structure of LaCd2Au.

Computed properties:
The value obtained for the total energy is -43.86 eV/atom. Its calculated density is 10.2 Mg/m³. The calculation puts the formation energy at -586 meV per atom.

Unit cell a=7.1468 b=7.1468 c=7.1468 alpha=90.00 beta=90.00 gamma=90.00
Space group F-43m (No. 216)
Symmetry-distinct sites (fractional):
La 0.0000 0.0000 0.0000 x4
Cd 0.0000 0.0000 0.5000 x4
Cd 0.2500 0.2500 0.7500 x4
Au 0.2500 0.2500 0.2500 x4


# 8
## OsRu2W (SCAN)

Data for a PBEsol-optimized structure of OsRu2W.

Computed properties:
The value obtained for the total energy is -52.79 eV/atom. Its calculated density is 17.0 Mg/m³. The calculation puts the formation energy at 17 meV per atom.

Unit cell a=3.8269 b=3.8269 c=7.6868 alpha=90.00 beta=90.00 gamma=90.00
Space group I-4m2 (No. 119)
Symmetry-distinct sites (fractional):
Os 0.0000 0.0000 0.0000 x2
Ru 0.0000 0.0000 0.5000 x2
Ru 0.0000 0.5000 0.2500 x2
W 0.0000 0.5000 0.7500 x2


# 9
## LaSc2Te (SCAN)

Data for a PBEsol-optimized structure of LaSc2Te.

Computed properties:
The value obtained for the total energy is -27.73 eV/atom. As for the uncorrected formation energy: -50.4 kJ/mol of atoms. Its calculated density is 5.6 Mg/m³.

Unit cell a=10.9993 b=3.6915 c=5.9623 alpha=90.00 beta=118.58 gamma=90.00
Space group Cm (No. 8)
Symmetry-distinct sites (fractional):
La 0.0000 0.0000 0.0000 x2
Sc 0.2077 0.0000 0.8103 x2
Sc 0.4325 0.0000 0.4345 x2
Te 0.2224 0.5000 0.4488 x2


# 10
## SrPtSe2 (SCAN)

Data for a PBEsol-optimized structure of SrPtSe2.

Computed properties:
The value obtained for the total energy is -34.25 eV/atom. As for the uncorrected formation energy: -105.2 kJ/mol of atoms. Its calculated density is 7.0 Mg/m³.

Unit cell a=4.6772 b=4.7323 c=4.8333 alpha=90.00 beta=103.74 gamma=90.00
Space group Pm (No. 6)
Symmetry-distinct sites (fractional):
Sr 0.0000 0.0000 0.0000 x1
Pt 0.4812 0.5000 0.3789 x1
Se 0.3364 0.5000 0.8437 x1
Se 0.6260 0.0000 0.4150 x1


# 11
## NiAg2Br (SCAN)

Data for a PBEsol-optimized structure of NiAg2Br.

Computed properties:
The value obtained for the total energy is -24.36 eV/atom. As for the uncorrected formation energy: 21.9 kJ/mol of atoms. Its calculated density is 8.6 Mg/m³.

Unit cell a=3.2561 b=3.2561 c=6.4590 alpha=90.00 beta=90.00 gamma=90.00
Space group P4/mmm (No. 123)
Symmetry-distinct sites (fractional):
Ni 0.0000 0.0000 0.0000 x1
Ag 0.5000 0.5000 0.2109 x2
Br 0.0000 0.0000 0.5000 x1


# 12
## TaTlH3 (SCAN)

Data for a PBEsol-optimized structure of TaTlH3.

Computed properties:
The value obtained for the total energy is -29.48 eV/atom. Its calculated density is 12.4 Mg/m³.

Unit cell a=3.7318 b=3.7318 c=3.7318 alpha=90.00 beta=90.00 gamma=90.00
Space group Pm-3m (No. 221)
Symmetry-distinct sites (fractional):
Ta 0.0000 0.0000 0.0000 x1
Tl 0.5000 0.5000 0.5000 x1
H 0.0000 0.0000 0.5000 x3